1.
Below is a geometry-optimized Nd4GaIr structure, with properties calculated at the GGA-PBE level.

The density of states at the Fermi level is 22.6 states/eV per cell.

It has space group Cmcm (No. 63), with a = 5.4323 Å, b = 20.8326 Å, c = 6.4990 Å, α = 90.00°, β = 90.00° and γ = 90.00°. The asymmetric unit holds Nd at (0.0000, 0.0510, 0.2500), Nd at (0.0000, 0.1979, 0.0058), Nd at (0.0000, 0.3992, 0.2500), Ga at (0.0000, 0.3390, 0.7500) and Ir at (0.0000, 0.0814, 0.7500).


2.
Below is a geometry-optimized Nd4GaIr structure, with properties calculated at the GGA-PBE level.

The density of states at the Fermi level is 73.3 states/eV per cell.

It has space group F-43m (No. 216), with a = 13.9201 Å, b = 13.9201 Å, c = 13.9201 Å, α = 90.00°, β = 90.00° and γ = 90.00°. The asymmetric unit holds Nd at (0.0000, 0.0000, 0.1894), Nd at (0.0546, 0.2500, 0.2500), Nd at (0.1021, 0.1021, 0.6021), Ga at (0.1706, 0.1706, 0.8294) and Ir at (0.1081, 0.1081, 0.3919).


Pick 2: it beats the second-best structure by 139 meV per atom.


1.
Below is a geometry-optimized NdGa9Ir2 structure, with properties calculated at the GGA-PBE level.

The density of states at the Fermi level is 5.1 states/eV per cell.

It has space group P6/mmm (No. 191), with a = 8.2525 Å, b = 8.2525 Å, c = 3.7989 Å, α = 90.00°, β = 90.00° and γ = 120.00°. The asymmetric unit holds Nd at (0.0000, 0.0000, 0.0000), Ga at (0.0000, 0.5000, 0.0000), Ga at (0.1982, 0.3964, 0.5000) and Ir at (0.3333, 0.6667, 0.0000).


2.
Below is a geometry-optimized NdGa9Ir2 structure, with properties calculated at the GGA-PBE level.

The density of states at the Fermi level is 17.7 states/eV per cell.

It has space group I4_1/amd (No. 141, origin choice 2), with a = 10.4568 Å, b = 10.4568 Å, c = 7.6927 Å, α = 90.00°, β = 90.00° and γ = 90.00°. The asymmetric unit holds Nd at (0.0000, 0.2500, 0.3750), Ga at (0.0000, 0.2500, 0.8750), Ga at (0.1205, 0.0435, 0.6847) and Ir at (0.0000, 0.0000, 0.0000).


Pick 1: it beats the second-best structure by 11 meV per atom.


1.
Below is a geometry-optimized Nd2Ga2Ir structure, with properties calculated at the GGA-PBE level.

The density of states at the Fermi level is 5.8 states/eV per cell.

It has space group Amm2 (No. 38), with a = 3.9468 Å, b = 4.3163 Å, c = 13.6670 Å, α = 90.00°, β = 90.00° and γ = 90.00°. The asymmetric unit holds Nd at (0.0000, 0.0000, 0.0000), Nd at (0.0000, 0.0000, 0.2607), Ga at (0.5000, 0.0000, 0.6239), Ga at (0.5000, 0.0000, 0.8246) and Ir at (0.5000, 0.0000, 0.4309).


2.
Below is a geometry-optimized Nd2Ga2Ir structure, with properties calculated at the GGA-PBE level.

The density of states at the Fermi level is 17.3 states/eV per cell.

It has space group C2/m (No. 12), with a = 11.1864 Å, b = 4.2146 Å, c = 10.8787 Å, α = 90.00°, β = 115.10° and γ = 90.00°. The asymmetric unit holds Nd at (0.0033, 0.0000, 0.3344), Nd at (0.1900, 0.0000, 0.1211), Ga at (0.0220, 0.5000, 0.8871), Ga at (0.1645, 0.5000, 0.5535) and Ir at (0.2116, 0.5000, 0.3313).


Pick 2: it beats the second-best structure by 49 meV per atom.


1.
Below is a geometry-optimized NdTmGaIr structure, with properties calculated at the GGA-PBE level.

The density of states at the Fermi level is 12.8 states/eV per cell.

It has space group F-43m (No. 216), with a = 7.0875 Å, b = 7.0875 Å, c = 7.0875 Å, α = 90.00°, β = 90.00° and γ = 90.00°. The asymmetric unit holds Nd at (0.0000, 0.0000, 0.0000), Tm at (0.0000, 0.0000, 0.5000), Ga at (0.2500, 0.2500, 0.7500) and Ir at (0.2500, 0.2500, 0.2500).


2.
Below is a geometry-optimized NdTmGaIr structure, with properties calculated at the GGA-PBE level.

The density of states at the Fermi level is 6.5 states/eV per cell.

It has space group Amm2 (No. 38), with a = 4.2142 Å, b = 4.0920 Å, c = 10.8448 Å, α = 90.00°, β = 90.00° and γ = 90.00°. The asymmetric unit holds Nd at (0.0000, 0.0000, 0.0000), Tm at (0.5000, 0.0000, 0.7172), Ga at (0.5000, 0.0000, 0.4185) and Ir at (0.0000, 0.0000, 0.2766).


Pick 2: it beats the second-best structure by 92 meV per atom.


1.
Below is a geometry-optimized GaNi4Ir structure, with properties calculated at the GGA-PBE level.

The density of states at the Fermi level is 38.7 states/eV per cell.

It has space group Pnma (No. 62), with a = 10.2221 Å, b = 3.6742 Å, c = 7.6674 Å, α = 90.00°, β = 90.00° and γ = 90.00°. The asymmetric unit holds Ga at (0.1827, 0.2500, 0.0824), Ni at (0.0621, 0.7500, 0.2477), Ni at (0.0633, 0.7500, 0.9167), Ni at (0.1866, 0.2500, 0.4148), Ni at (0.1881, 0.2500, 0.7562) and Ir at (0.0645, 0.7500, 0.5888).


2.
Below is a geometry-optimized GaNi4Ir structure, with properties calculated at the GGA-PBE level.

The density of states at the Fermi level is 54.5 states/eV per cell.

It has space group Fddd (No. 70, origin choice 2), with a = 5.0556 Å, b = 8.4063 Å, c = 14.1556 Å, α = 90.00°, β = 90.00° and γ = 90.00°. The asymmetric unit holds Ga at (0.1250, 0.1250, 0.1250), Ni at (0.1217, 0.3753, 0.0313) and Ir at (0.1250, 0.1250, 0.6250).


Pick 1: it beats the second-best structure by 149 meV per atom.


1.
Below is a geometry-optimized Ga2Ni2Ir structure, with properties calculated at the GGA-PBE level.

The density of states at the Fermi level is 8.3 states/eV per cell.

It has space group P4/mbm (No. 127), with a = 6.7832 Å, b = 6.7832 Å, c = 2.8364 Å, α = 90.00°, β = 90.00° and γ = 90.00°. The asymmetric unit holds Ga at (0.1461, 0.3539, 0.0000), Ni at (0.1512, 0.6512, 0.5000) and Ir at (0.0000, 0.0000, 0.0000).


2.
Below is a geometry-optimized Ga2Ni2Ir structure, with properties calculated at the GGA-PBE level.

The density of states at the Fermi level is 12.7 states/eV per cell.

It has space group I4/mmm (No. 139), with a = 3.5634 Å, b = 3.5634 Å, c = 10.9312 Å, α = 90.00°, β = 90.00° and γ = 90.00°. The asymmetric unit holds Ga at (0.0000, 0.5000, 0.2500), Ni at (0.0000, 0.0000, 0.1018) and Ir at (0.0000, 0.0000, 0.5000).


3.
Below is a geometry-optimized Ga2Ni2Ir structure, with properties calculated at the GGA-PBE level.

The density of states at the Fermi level is 4.0 states/eV per cell.

It has space group Cmmm (No. 65), with a = 2.9622 Å, b = 15.4674 Å, c = 2.9371 Å, α = 90.00°, β = 90.00° and γ = 90.00°. The asymmetric unit holds Ga at (0.0000, 0.1053, 0.0000), Ni at (0.0000, 0.3132, 0.5000) and Ir at (0.0000, 0.5000, 0.5000).


Pick 1: it beats the second-best structure by 10 meV per atom.


1.
Below is a geometry-optimized Ga2Ni3Ir structure, with properties calculated at the GGA-PBE level.

The density of states at the Fermi level is 5.9 states/eV per cell.

It has space group P2/m (No. 10), with a = 4.4103 Å, b = 2.7262 Å, c = 6.3714 Å, α = 90.00°, β = 99.69° and γ = 90.00°. The asymmetric unit holds Ga at (0.2258, 0.0000, 0.3245), Ni at (0.0000, 0.5000, 0.0000), Ni at (0.2554, 0.5000, 0.6545) and Ir at (0.5000, 0.0000, 0.0000).


2.
Below is a geometry-optimized Ga2Ni3Ir structure, with properties calculated at the GGA-PBE level.

The density of states at the Fermi level is 53.5 states/eV per cell.

It has space group I4_1/amd (No. 141, origin choice 2), with a = 7.7753 Å, b = 7.7753 Å, c = 10.2557 Å, α = 90.00°, β = 90.00° and γ = 90.00°. The asymmetric unit holds Ga at (0.0000, 0.0672, 0.2713), Ni at (0.0000, 0.0000, 0.5000), Ni at (0.2041, 0.0459, 0.8750) and Ir at (0.0000, 0.2500, 0.0533).


Pick 1: it beats the second-best structure by 123 meV per atom.


1.
Below is a geometry-optimized GaNi6Ir structure, with properties calculated at the GGA-PBE level.

The density of states at the Fermi level is 103.0 states/eV per cell.

It has space group Cmmm (No. 65), with a = 7.1968 Å, b = 10.1952 Å, c = 10.1965 Å, α = 90.00°, β = 90.00° and γ = 90.00°. The asymmetric unit holds Ga at (0.0000, 0.0000, 0.2478), Ga at (0.0000, 0.2497, 0.0000), Ni at (0.0000, 0.0000, 0.0000), Ni at (0.0000, 0.0000, 0.5000), Ni at (0.0000, 0.2500, 0.2496), Ni at (0.0000, 0.5000, 0.0000), Ni at (0.0000, 0.5000, 0.5000), Ni at (0.2494, 0.1249, 0.3734), Ni at (0.2501, 0.1251, 0.1239), Ir at (0.0000, 0.2483, 0.5000) and Ir at (0.0000, 0.5000, 0.2490).


2.
Below is a geometry-optimized GaNi6Ir structure, with properties calculated at the GGA-PBE level.

The density of states at the Fermi level is 22.4 states/eV per cell.

It has space group C2/m (No. 12), with a = 7.1371 Å, b = 4.8340 Å, c = 6.4176 Å, α = 90.00°, β = 108.45° and γ = 90.00°. The asymmetric unit holds Ga at (0.0000, 0.0000, 0.0000), Ni at (0.1293, 0.5000, 0.9197), Ni at (0.1998, 0.2590, 0.3006) and Ir at (0.0000, 0.5000, 0.5000).


Pick 1: it beats the second-best structure by 227 meV per atom.


1.
Below is a geometry-optimized ScGaNiIr structure, with properties calculated at the GGA-PBE level.

The density of states at the Fermi level is 3.3 states/eV per cell.

It has space group I-4m2 (No. 119), with a = 4.1632 Å, b = 4.1632 Å, c = 6.8397 Å, α = 90.00°, β = 90.00° and γ = 90.00°. The asymmetric unit holds Sc at (0.0000, 0.0000, 0.0000), Ga at (0.0000, 0.0000, 0.5000), Ni at (0.0000, 0.5000, 0.2500) and Ir at (0.0000, 0.5000, 0.7500).


2.
Below is a geometry-optimized ScGaNiIr structure, with properties calculated at the GGA-PBE level.

The density of states at the Fermi level is 12.8 states/eV per cell.

It has space group F-43m (No. 216), with a = 6.1934 Å, b = 6.1934 Å, c = 6.1934 Å, α = 90.00°, β = 90.00° and γ = 90.00°. The asymmetric unit holds Sc at (0.0000, 0.0000, 0.0000), Ga at (0.0000, 0.0000, 0.5000), Ni at (0.2500, 0.2500, 0.7500) and Ir at (0.2500, 0.2500, 0.2500).


Pick 1: it beats the second-best structure by 7 meV per atom.